A relaxed structure of La2Pm3ScTe6, computed with PBE.

Lattice parameters (Å, degrees): 9.9572 9.9572 8.9640 102.74 102.74 25.78
Last column: nearest neighbours and their distance in Å.
Positions (direct):
La (0.1661, 0.1661, 0.3334)  6 Te 3.19-3.24
La (0.8339, 0.8339, 0.6666)  6 Te 3.19-3.24
Pm (0.1742, 0.1742, 0.8378)  6 Te 3.13-3.20
Pm (0.5000, 0.5000, 0.5000)  6 Te 3.12-3.26
Pm (0.8258, 0.8258, 0.1622)  6 Te 3.13-3.20
Sc (0.5000, 0.5000, 0.0000)  6 Te 2.97-3.06
Te (0.0050, 0.0050, 0.7677)  2 Sc 3.06, 3 Pm 3.20-3.26, 1 La 3.24
Te (0.3352, 0.3352, 0.4116)  3 Pm 3.12-3.13, 3 La 3.19-3.20
Te (0.3429, 0.3429, 0.9263)  1 Sc 2.97, 3 Pm 3.14-3.19, 2 La 3.19
Te (0.6571, 0.6571, 0.0737)  1 Sc 2.97, 3 Pm 3.14-3.19, 2 La 3.19
Te (0.6648, 0.6648, 0.5884)  3 Pm 3.12-3.13, 3 La 3.19-3.20
Te (0.9950, 0.9950, 0.2323)  2 Sc 3.06, 3 Pm 3.20-3.26, 1 La 3.24

space-group type: No. 12
ρ: 6.719 g/cm³
crystal system: monoclinic
E_form (uncorrected): -1.403 eV/atom
final energy: -66.129 eV/f.u.